Mg2MnCd | meta-GGA SCAN | PBEsol geometry

abc: 3.104 5.014 5.215
angles: 103.35 107.32 90.00
Atoms (fractional coordinates):
Cd 0.759 0.254 0.519
Mg 0.006 0.012 0.012
Mn 0.495 0.505 0.991
Mg 0.239 0.730 0.479

Summary:
The total magnetization comes out at 3.9 μB/cell. The energy relative to the elements is -4.6 kJ/mol of atoms. As for the space group: No. 8. The raw total energy is -14.70 eV per atom.